(1)
## SrV3Rh (PBE)

Data for a relaxed SrV3Rh crystal.

Excess energy over the best structure of this formula in the dataset ... 0 meV per atom
Crystal system ... cubic
ΔH_f (0 K) ... 73 kJ per mole of atoms

Structure (POSCAR):
```
SrV3Rh
1.0
4.824 0.000 0.000
0.000 4.824 0.000
0.000 0.000 4.824
Sr V Rh
1 3 1
direct
0.500 0.500 0.500
0.000 0.500 0.000
0.500 0.000 0.000
0.000 0.000 0.500
0.000 0.000 0.000
```



(2)
## Mn2CrP (PBE)

Data for a relaxed Mn2CrP crystal.

Crystal system ... tetragonal
ΔH_f (0 K) ... -18 kJ per mole of atoms

Structure (POSCAR):
```
Mn2CrP
1.0
2.796 0.000 0.000
0.000 2.796 0.000
0.000 0.000 5.580
P Mn Cr
1 2 1
direct
0.500 0.500 0.250
0.000 0.000 0.015
0.000 0.000 0.485
0.500 0.500 0.750
```